Model i:
## LiLa2AuS (PBE-GGA)

Data for crystalline LiLa2AuS at its relaxed geometry.

Properties
Total magnetization = 0.00 μB per formula unit

Lattice parameters (Å, degrees): 5.4335 5.4335 4.0634 90.00 90.00 90.00
Sites, in units of the cell vectors:
Li 0.0000 0.0000 0.0000
La 0.0000 0.5000 0.0000
La 0.5000 0.0000 0.0000
Au 0.5000 0.5000 0.5000
S 0.0000 0.0000 0.5000

---

Model ii:
## LiLa2AuS (PBE-GGA)

Data for crystalline LiLa2AuS at its relaxed geometry.

Properties
Total magnetization = 0.00 μB per formula unit

Lattice parameters (Å, degrees): 5.7287 5.7287 4.5650 90.00 90.00 90.00
Sites, in units of the cell vectors:
Li 0.0000 0.0000 0.0000
La 0.0000 0.5000 0.5000
La 0.5000 0.0000 0.5000
Au 0.0000 0.0000 0.5000
S 0.5000 0.5000 0.0000

---

Of all the structures shown, which is most stable? model ii, and model i is the least stable.